The following is a GGA-PBE calculation of a relaxed KGeAu2 crystal, from Alexandria via LeMat-Bulk.

The structure in extended XYZ format:
```
8
Lattice="5.522 0.000 0.000 0.000 5.522 0.000 2.761 2.761 8.350" Properties=species:S:1:pos:R:3 pbc="T T T"
Ge 5.522 2.761 4.175
K 2.761 5.522 4.175
Au 5.520 1.381 2.087
K 2.761 2.761 0.000
Au 6.903 2.759 6.262
Au 5.524 4.142 2.087
Au 4.142 2.763 6.262
Ge 0.000 0.000 0.000
```

Output
Calculated formation energy: -0.18 eV/atom
V: 254.6 Å³ per cell
Density: 6596 kg/m3

The following is a GGA-PBE calculation of a relaxed CeZnSb2 crystal, from Alexandria via LeMat-Bulk.

The structure in extended XYZ format:
```
4
Lattice="-4.851 0.117 0.407 -2.372 -3.781 1.946 -1.981 0.826 5.281" Properties=species:S:1:pos:R:3 pbc="T T T"
Ce -4.602 -1.419 3.817
Sb -2.328 -0.842 1.618
Sb -6.875 -1.996 6.016
Zn 0.000 0.000 0.000
```

Output
ΔE_f (raw): -368 meV per atom
V: 101.8 Å³ per cell
Density: 7323 kg/m3

Asked for DFT total energy across the records above, the calculation gives -3.24, -4.23 eV/atom in order.
Asked for M_tot across the records above, the calculation gives 0.000, 0.037 μB per atom in order.